Density functional theory data (PBE-GGA) for a relaxed structure of LiNiN2.

Output
ΔE to the lowest computed polymorph	1.13	eV/f.u.
crystal system	cubic

Cell: 3.517 3.517 3.517 Å, 60.00 60.00 60.00°
Sites, in units of the cell vectors:
Li1 0.000 0.000 0.000
Ni1 0.500 0.500 0.500
N1 0.250 0.250 0.250
N2 0.750 0.750 0.750

***

Density functional theory data (PBE-GGA) for a relaxed structure of LiNi3N.

Output
ΔE to the lowest computed polymorph	0.09	eV/f.u.
crystal system	triclinic

Cell: 3.711 4.635 6.964 Å, 91.61 105.36 113.52°
Sites, in units of the cell vectors:
Li1 0.107 0.348 0.367
Li2 0.893 0.652 0.633
Ni1 0.000 0.500 0.000
Ni2 0.281 0.288 0.772
Ni3 0.367 0.112 0.121
Ni4 0.500 0.000 0.500
Ni5 0.633 0.888 0.879
Ni6 0.719 0.712 0.228
N1 0.257 0.767 0.250
N2 0.743 0.233 0.750

***

Density functional theory data (PBE-GGA) for a relaxed structure of LiNi3N.

Output
ΔE to the lowest computed polymorph	0.35	eV/f.u.
crystal system	monoclinic

Cell: 6.870 4.575 6.858 Å, 90.00 102.02 90.00°
Sites, in units of the cell vectors:
Li1 0.186 0.092 0.057
Li2 0.186 0.408 0.557
Li3 0.814 0.592 0.443
Li4 0.814 0.908 0.943
Ni1 0.059 0.573 0.180
Ni2 0.059 0.927 0.680
Ni3 0.306 0.597 0.935
Ni4 0.306 0.903 0.435
Ni5 0.449 0.097 0.807
Ni6 0.449 0.403 0.307
Ni7 0.551 0.597 0.693
Ni8 0.551 0.903 0.193
Ni9 0.694 0.097 0.565
Ni10 0.694 0.403 0.065
Ni11 0.941 0.073 0.320
Ni12 0.941 0.427 0.820
N1 0.304 0.717 0.194
N2 0.304 0.783 0.694
N3 0.696 0.217 0.306
N4 0.696 0.283 0.806

***

Density functional theory data (PBE-GGA) for a relaxed structure of LiNi3N.

Output
ΔE to the lowest computed polymorph	1.27	eV/f.u.
crystal system	monoclinic

Cell: 4.855 4.855 9.604 Å, 103.70 103.70 31.06°
Sites, in units of the cell vectors:
Li1 0.067 0.067 0.137
Li2 0.933 0.933 0.863
Ni1 0.093 0.093 0.637
Ni2 0.171 0.171 0.402
Ni3 0.317 0.317 0.100
Ni4 0.683 0.683 0.900
Ni5 0.829 0.829 0.598
Ni6 0.907 0.907 0.363
N1 0.276 0.276 0.270
N2 0.724 0.724 0.730

***

Density functional theory data (PBE-GGA) for a relaxed structure of LiNiN3.

Output
crystal system	cubic

Cell: 3.682 3.682 3.682 Å, 90.00 90.00 90.00°
Sites, in units of the cell vectors:
Li1 0.000 0.000 0.000
Ni1 0.500 0.500 0.500
N1 0.000 0.500 0.500
N2 0.500 0.000 0.500
N3 0.500 0.500 0.000

***

Density functional theory data (PBE-GGA) for a relaxed structure of LiNi3N.

Output
ΔE to the lowest computed polymorph	0.63	eV/f.u.
crystal system	monoclinic

Cell: 6.612 4.710 8.811 Å, 90.00 130.73 90.00°
Sites, in units of the cell vectors:
Li1 0.146 0.223 0.082
Li2 0.146 0.277 0.582
Li3 0.854 0.723 0.418
Li4 0.854 0.777 0.918
Ni1 0.078 0.620 0.789
Ni2 0.078 0.880 0.289
Ni3 0.360 0.675 0.170
Ni4 0.360 0.825 0.670
Ni5 0.432 0.242 0.976
Ni6 0.432 0.258 0.476
Ni7 0.568 0.742 0.524
Ni8 0.568 0.758 0.024
Ni9 0.640 0.175 0.330
Ni10 0.640 0.325 0.830
Ni11 0.922 0.120 0.711
Ni12 0.922 0.380 0.211
N1 0.235 0.552 0.289
N2 0.235 0.948 0.789
N3 0.765 0.052 0.211
N4 0.765 0.448 0.711

***

Density functional theory data (PBE-GGA) for a relaxed structure of LiNi2N2.

Output
crystal system	tetragonal

Cell: 4.526 4.526 4.526 Å, 132.51 132.51 69.42°
Sites, in units of the cell vectors:
Li1 0.000 0.000 0.000
Ni1 0.328 0.328 0.000
Ni2 0.672 0.672 0.000
N1 0.250 0.750 0.500
N2 0.750 0.250 0.500

***

Density functional theory data (PBE-GGA) for a relaxed structure of LiNi3N.

Output
ΔE to the lowest computed polymorph	0.08	eV/f.u.
crystal system	orthorhombic

Cell: 4.927 4.927 4.878 Å, 90.00 90.00 120.35°
Sites, in units of the cell vectors:
Li1 0.026 0.974 0.500
Li2 0.974 0.026 0.000
Ni1 0.036 0.474 0.321
Ni2 0.465 0.535 0.703
Ni3 0.474 0.036 0.821
Ni4 0.526 0.964 0.321
Ni5 0.535 0.465 0.203
Ni6 0.964 0.526 0.821
N1 0.337 0.663 0.029
N2 0.663 0.337 0.529

***

Density functional theory data (PBE-GGA) for a relaxed structure of Li2NiN2.

Output
crystal system	tetragonal

Cell: 4.879 4.879 3.397 Å, 90.00 90.00 90.00°
Sites, in units of the cell vectors:
Li1 0.176 0.324 0.000
Li2 0.324 0.824 0.000
Li3 0.676 0.176 0.000
Li4 0.824 0.676 0.000
Ni1 0.000 0.000 0.500
Ni2 0.500 0.500 0.500
N1 0.103 0.603 0.500
N2 0.397 0.103 0.500
N3 0.603 0.897 0.500
N4 0.897 0.397 0.500

***

Density functional theory data (PBE-GGA) for a relaxed structure of LiNi3N.

Output
ΔE to the lowest computed polymorph	0.00	eV/f.u.
crystal system	orthorhombic

Cell: 5.234 4.589 4.589 Å, 69.33 90.00 90.00°
Sites, in units of the cell vectors:
Li1 0.000 0.000 0.000
Li2 0.500 0.007 0.007
Ni1 0.000 0.508 0.508
Ni2 0.245 0.507 0.997
Ni3 0.245 0.997 0.507
Ni4 0.500 0.493 0.493
Ni5 0.755 0.507 0.997
Ni6 0.755 0.997 0.507
N1 0.000 0.268 0.268
N2 0.500 0.735 0.735

***

Density functional theory data (PBE-GGA) for a relaxed structure of LiNi3N.

Output
ΔE to the lowest computed polymorph	4.15	eV/f.u.
crystal system	orthorhombic

Cell: 6.591 6.591 4.525 Å, 90.00 90.00 137.66°
Sites, in units of the cell vectors:
Li1 0.170 0.830 0.750
Li2 0.830 0.170 0.250
Ni1 0.000 0.000 0.000
Ni2 0.000 0.000 0.500
Ni3 0.083 0.407 0.750
Ni4 0.407 0.083 0.250
Ni5 0.593 0.917 0.750
Ni6 0.917 0.593 0.250
N1 0.434 0.566 0.750
N2 0.566 0.434 0.250

***

Density functional theory data (PBE-GGA) for a relaxed structure of LiNi3N.

Output
ΔE to the lowest computed polymorph	1.11	eV/f.u.
crystal system	monoclinic

Cell: 6.880 6.880 4.665 Å, 91.12 91.12 101.17°
Sites, in units of the cell vectors:
Li1 0.063 0.200 0.071
Li2 0.200 0.063 0.571
Li3 0.800 0.937 0.429
Li4 0.937 0.800 0.929
Ni1 0.047 0.669 0.421
Ni2 0.183 0.563 0.920
Ni3 0.314 0.438 0.413
Ni4 0.331 0.953 0.079
Ni5 0.437 0.817 0.580
Ni6 0.438 0.314 0.913
Ni7 0.562 0.686 0.087
Ni8 0.563 0.183 0.420
Ni9 0.669 0.047 0.921
Ni10 0.686 0.562 0.587
Ni11 0.817 0.437 0.080
Ni12 0.953 0.331 0.579
N1 0.278 0.722 0.250
N2 0.428 0.572 0.750
N3 0.572 0.428 0.250
N4 0.722 0.278 0.750

***

Density functional theory data (PBE-GGA) for a relaxed structure of LiNiN3.

Output
crystal system	cubic

Cell: 3.507 3.507 3.507 Å, 90.00 90.00 90.00°
Sites, in units of the cell vectors:
Li1 0.000 0.000 0.000
Ni1 0.500 0.500 0.500
N1 0.000 0.000 0.500
N2 0.000 0.500 0.000
N3 0.500 0.000 0.000

***

Density functional theory data (PBE-GGA) for a relaxed structure of Li3Np3NiN8.

Output
crystal system	monoclinic

Cell: 6.737 6.737 5.932 Å, 114.01 114.01 55.19°
Sites, in units of the cell vectors:
Li1 0.000 0.000 0.000
Li2 0.000 0.500 0.500
Li3 0.500 0.000 0.500
Np1 0.000 0.500 0.000
Np2 0.500 0.000 0.000
Np3 0.500 0.500 0.500
Ni1 0.000 0.000 0.500
N1 0.194 0.724 0.256
N2 0.276 0.806 0.744
N3 0.277 0.277 0.272
N4 0.282 0.282 0.811
N5 0.718 0.718 0.189
N6 0.723 0.723 0.728
N7 0.724 0.194 0.256
N8 0.806 0.276 0.744

***

no.,formation energy from raw total energies (eV per atom)
1,0.708
2,-0.134
3,-0.080
4,0.103
5,1.487
6,-0.025
7,0.244
8,-0.136
9,-0.170
10,-0.151
11,0.679
12,0.071
13,2.226
14,-0.559